This record from Alexandria via LeMat-Bulk describes crystalline Zn2CdPdRu at its relaxed geometry. The functional is PBE-GGA.

For the density of states at the Fermi level, the calculation gives 3.864 states/eV per cell. For the magnetic moment, the calculation gives 1.5 μB per cell. The formation energy is 1264 meV/atom. Its total DFT energy (no corrections) is -11.61 eV/cell.

abc: 4.7343 4.7343 5.0233
angles: 90.00 90.00 90.00
Space group P4/mmm (No. 123)
One atom of each set of equivalent atoms:
Zn1 0.0000 0.5000 0.0000 (multiplicity 2)
Cd1 0.0000 0.0000 0.0000 (multiplicity 1)
Pd1 0.5000 0.5000 0.5000 (multiplicity 1)
Ru1 0.0000 0.0000 0.5000 (multiplicity 1)